Entry 1:
Density functional theory data (PBE) for CsRb2SbCl8 after structural relaxation.

Computed properties:
total magnetization: 0.2 μB per formula unit
raw formation energy: -1.32 eV/atom

Lattice parameters (Å, degrees): 5.9730 7.9187 9.7942 83.52 77.36 83.04
Last column: nearest neighbours and their distance in Å.
Space group P-1 (No. 2)
Asymmetric unit:
1 Cs 0.0000 0.0000 0.0000 x1  6 Cl 3.39-3.79
2 Rb 0.1978 0.5002 0.2111 x2  5 Cl 3.22-3.54
3 Sb 0.0000 0.0000 0.5000 x1  6 Cl 2.42-2.44
4 Cl 0.1902 0.8151 0.6657 x2  1 Sb 2.44
5 Cl 0.2028 0.2375 0.5259 x2  1 Sb 2.42
6 Cl 0.2901 0.3517 0.9093 x2  3 Rb 3.22-3.41, 1 Cs 3.39, 1 Cl 3.49
7 Cl 0.3019 0.9100 0.3064 x2  1 Sb 2.42



Entry 2:
Density functional theory data (PBE) for Cs2RbScCl6 after structural relaxation.

Computed properties:
total magnetization: 0.0 μB per formula unit
energy above the most stable polymorph in this dataset: 3 meV/atom
raw formation energy: -2.08 eV/atom

Lattice parameters (Å, degrees): 11.2841 11.2841 11.2841 90.00 90.00 90.00
Last column: nearest neighbours and their distance in Å.
Space group Fm-3m (No. 225)
Asymmetric unit:
1 Cs 0.2500 0.2500 0.2500 x8  12 Cl 4.00
2 Rb 0.0000 0.0000 0.0000 x4  6 Cl 3.14
3 Sc 0.0000 0.0000 0.5000 x4  6 Cl 2.50
4 Cl 0.0000 0.0000 0.2782 x24  1 Sc 2.50



Entry 3:
Density functional theory data (PBE) for Cs2RbScCl6 after structural relaxation.

Computed properties:
total magnetization: 0.0 μB per formula unit
energy above the most stable polymorph in this dataset: 0 meV/atom
raw formation energy: -2.09 eV/atom

Lattice parameters (Å, degrees): 7.6685 11.2873 8.4856 90.00 90.00 90.00
Last column: nearest neighbours and their distance in Å.
Space group Pmmn (No. 59, origin choice 2)
Asymmetric unit:
1 Cs 0.2500 0.0237 0.2027 x4  9 Cl 3.57-3.94
2 Rb 0.2500 0.2500 0.7090 x2  6 Cl 3.20-3.23
3 Sc 0.2500 0.7500 0.7840 x2  6 Cl 2.49-2.53
4 Cl 0.0138 0.7500 0.5826 x4  1 Sc 2.49
5 Cl 0.0224 0.7500 0.0002 x4  1 Sc 2.53
6 Cl 0.2500 0.5276 0.7872 x4  1 Sc 2.51



Entry 4:
Density functional theory data (PBE) for CsRb2ScCl6 after structural relaxation.

Computed properties:
total magnetization: 0.0 μB per formula unit
raw formation energy: -2.01 eV/atom

Lattice parameters (Å, degrees): 11.4925 11.4925 11.4925 90.00 90.00 90.00
Last column: nearest neighbours and their distance in Å.
Space group Fm-3m (No. 225)
Asymmetric unit:
1 Cs 0.0000 0.0000 0.0000 x4  6 Cl 3.25
2 Rb 0.2500 0.2500 0.2500 x8  12 Cl 4.08
3 Sc 0.0000 0.0000 0.5000 x4  6 Cl 2.50
4 Cl 0.0000 0.0000 0.2826 x24  1 Sc 2.50



Entry 5:
Density functional theory data (PBE) for CsRb2ScCl6 after structural relaxation.

Computed properties:
total magnetization: 0.0 μB per formula unit
raw formation energy: -2.07 eV/atom

Lattice parameters (Å, degrees): 7.7831 8.1935 13.5395 90.00 124.79 90.00
Last column: nearest neighbours and their distance in Å.
Space group P2_1/c (No. 14)
Asymmetric unit:
1 Cs 0.0000 0.0000 0.0000 x2  6 Cl 3.37-3.50
2 Rb 0.2753 0.0694 0.7478 x4  6 Cl 3.32-3.55
3 Sc 0.5000 0.0000 0.5000 x2  6 Cl 2.51-2.53
4 Cl 0.1698 0.0533 0.2951 x4  1 Sc 2.52
5 Cl 0.2991 0.6678 0.0566 x4  1 Sc 2.51
6 Cl 0.4264 0.2463 0.0771 x4  1 Sc 2.53



Entry 6:
Density functional theory data (PBE) for CsRb2ScCl after structural relaxation.

Computed properties:
total magnetization: 0.3 μB per formula unit
raw formation energy: -0.16 eV/atom

Lattice parameters (Å, degrees): 6.4957 6.4957 6.8089 90.00 90.00 90.00
Last column: nearest neighbours and their distance in Å.
Space group P4/mmm (No. 123)
Asymmetric unit:
1 Cs 0.0000 0.0000 0.0000 x1  2 Cl 3.40
2 Rb 0.0000 0.5000 0.5000 x2  2 Cl 3.25
3 Sc 0.5000 0.5000 0.0000 x1  4 Cs 4.59, 8 Rb 4.71
4 Cl 0.0000 0.0000 0.5000 x1  4 Rb 3.25, 2 Cs 3.40



Entry 7:
Density functional theory data (PBE) for Cs2RbSeCl6 after structural relaxation.

Computed properties:
total magnetization: 1.0 μB per formula unit
energy above the most stable polymorph in this dataset: 0 meV/atom
raw formation energy: -1.26 eV/atom

Lattice parameters (Å, degrees): 7.8208 7.8208 12.3497 90.00 90.00 90.00
Last column: nearest neighbours and their distance in Å.
Space group I4/mmm (No. 139)
Asymmetric unit:
1 Cs 0.0000 0.5000 0.2500 x4  12 Cl 3.91-4.16
2 Rb 0.0000 0.0000 0.0000 x2  6 Cl 3.12-3.13
3 Se 0.0000 0.0000 0.5000 x2  4 Cl 2.41
4 Cl 0.0000 0.0000 0.2536 x4  1 Se 3.04, 1 Rb 3.13
5 Cl 0.2177 0.2177 0.5000 x8  1 Se 2.41



Entry 8:
Density functional theory data (PBE) for Cs2RbSeCl after structural relaxation.

Computed properties:
total magnetization: 0.0 μB per formula unit
raw formation energy: -1.20 eV/atom

Lattice parameters (Å, degrees): 6.8988 6.8988 6.4889 90.00 90.00 90.00
Last column: nearest neighbours and their distance in Å.
Space group P4/mmm (No. 123)
Asymmetric unit:
1 Cs 0.0000 0.5000 0.0000 x2  2 Se 3.45
2 Rb 0.0000 0.0000 0.5000 x1  2 Se 3.24
3 Se 0.0000 0.0000 0.0000 x1  2 Rb 3.24, 4 Cs 3.45
4 Cl 0.5000 0.5000 0.5000 x1  8 Cs 4.74, 4 Rb 4.88



Entry 9:
Density functional theory data (PBE) for Cs2RbSeCl6 after structural relaxation.

Computed properties:
total magnetization: 1.0 μB per formula unit
energy above the most stable polymorph in this dataset: 59 meV/atom
raw formation energy: -1.20 eV/atom

Lattice parameters (Å, degrees): 8.1031 8.1031 40.5573 90.00 90.00 120.00
Last column: nearest neighbours and their distance in Å.
Space group R-3m (No. 166, hexagonal axes)
Asymmetric unit:
1 Cs 0.0000 0.0000 0.1391 x6  3 Cl 3.51
2 Cs 0.0000 0.0000 0.2691 x6  3 Cl 3.49
3 Rb 0.0000 0.0000 0.4112 x6  6 Cl 3.15-3.22
4 Se 0.0000 0.0000 0.0000 x3  6 Cl 2.43
5 Se 0.0000 0.0000 0.5000 x3  6 Cl 2.83
6 Cl 0.0057 0.5028 0.8711 x18  1 Se 2.83, 1 Rb 3.15
7 Cl 0.0514 0.5257 0.7014 x18  1 Se 2.43



Entry 10:
Density functional theory data (PBE) for Cs2RbSmCl6 after structural relaxation.

Computed properties:
total magnetization: 0.0 μB per formula unit
energy above the most stable polymorph in this dataset: 28 meV/atom
raw formation energy: -2.13 eV/atom

Lattice parameters (Å, degrees): 11.6916 11.6916 11.6916 90.00 90.00 90.00
Last column: nearest neighbours and their distance in Å.
Space group Fm-3m (No. 225)
Asymmetric unit:
1 Cs 0.2500 0.2500 0.2500 x8  12 Cl 4.14
2 Rb 0.0000 0.0000 0.0000 x4  6 Cl 3.15
3 Sm 0.0000 0.0000 0.5000 x4  6 Cl 2.70
4 Cl 0.0000 0.0000 0.2690 x24  1 Sm 2.70



Entry 11:
Density functional theory data (PBE) for Cs2RbSmCl6 after structural relaxation.

Computed properties:
total magnetization: 0.0 μB per formula unit
energy above the most stable polymorph in this dataset: 0 meV/atom
raw formation energy: -2.16 eV/atom

Lattice parameters (Å, degrees): 8.0494 8.3859 14.0216 90.00 124.80 90.00
Last column: nearest neighbours and their distance in Å.
Space group P2_1/c (No. 14)
Asymmetric unit:
1 Cs 0.2296 0.0591 0.2481 x4  6 Cl 3.51-3.82
2 Rb 0.0000 0.0000 0.5000 x2  6 Cl 3.26-3.31
3 Sm 0.5000 0.0000 0.0000 x2  6 Cl 2.72-2.73
4 Cl 0.1847 0.1825 0.9564 x4  1 Sm 2.72
5 Cl 0.2686 0.7331 0.9456 x4  1 Sm 2.73
6 Cl 0.3679 0.0333 0.7742 x4  1 Sm 2.72



Entry 12:
Density functional theory data (PBE) for Cs3Rb4SnCl8 after structural relaxation.

Computed properties:
total magnetization: 1.0 μB per formula unit
raw formation energy: -1.71 eV/atom

Lattice parameters (Å, degrees): 16.9942 9.5100 9.4279 90.00 122.05 90.00
Last column: nearest neighbours and their distance in Å.
Space group C2/m (No. 12)
Asymmetric unit:
1 Cs 0.0000 0.0000 0.0000 x2  6 Cl 3.43-3.67
2 Cs 0.2500 0.2500 0.0000 x4  6 Cl 3.42-3.69
3 Rb 0.0000 0.0000 0.5000 x2  2 Cl 3.08
4 Rb 0.0000 0.5000 0.5000 x2  6 Cl 3.30-3.53
5 Rb 0.2500 0.2500 0.5000 x4  6 Cl 3.28-3.54
6 Sn 0.0000 0.5000 0.0000 x2  4 Cl 3.02
7 Cl 0.0057 0.2793 0.2352 x8  1 Sn 3.02, 1 Rb 3.30
8 Cl 0.2141 0.0000 0.7034 x4  3 Rb 3.08-3.31
9 Cl 0.2453 0.5000 0.7352 x4  3 Rb 3.28-3.53, 3 Cs 3.42-3.67